Entry 1:
Density functional theory data (PBE-GGA) for a relaxed structure of La7DyEr12.

Values from the calculation:
Its space-group type is No. 229. Its crystal system is cubic. For the formation energy, the calculation gives 12.75 eV per formula unit. The value obtained for the total magnetization is 0.0 μB per formula unit.

Cell: 9.7939 9.7939 9.7939 Å, 109.47 109.47 109.47°
Last column: nearest neighbours and their distance in Å.
Positions (direct):
La  0.0000  0.0000  0.5000  6 Er 2.83
La  0.0000  0.5000  0.0000  6 Er 2.83
La  0.0000  0.5000  0.5000  12 Er 4.00-4.07
La  0.5000  0.0000  0.0000  6 Er 2.83
La  0.5000  0.0000  0.5000  12 Er 4.00-4.07
La  0.5000  0.5000  0.0000  12 Er 4.00-4.07
La  0.5000  0.5000  0.5000  6 Er 2.83
Dy  0.0000  0.0000  0.0000  12 Er 3.93
Er  0.0000  0.2457  0.7543  2 La 2.83
Er  0.0000  0.7543  0.2457  2 La 2.83
Er  0.2457  0.0000  0.7543  2 La 2.83
Er  0.2457  0.2457  0.4915  2 La 2.83
Er  0.2457  0.4915  0.2457  2 La 2.83
Er  0.2457  0.7543  0.0000  2 La 2.83
Er  0.4915  0.2457  0.2457  2 La 2.83
Er  0.5085  0.7543  0.7543  2 La 2.83
Er  0.7543  0.0000  0.2457  2 La 2.83
Er  0.7543  0.2457  0.0000  2 La 2.83
Er  0.7543  0.5085  0.7543  2 La 2.83
Er  0.7543  0.7543  0.5085  2 La 2.83

=====

Entry 2:
Density functional theory data (PBE-GGA) for a relaxed structure of La3DyEr2.

Values from the calculation:
Its space-group type is No. 71. Its crystal system is orthorhombic. For the formation energy, the calculation gives 1.95 eV per formula unit. The value obtained for the energy above the most stable polymorph in this dataset is 1.15 eV/f.u. The value obtained for the total magnetization is 0.0 μB per formula unit.

Cell: 10.4540 10.4540 10.4540 Å, 160.83 146.62 38.77°
Last column: nearest neighbours and their distance in Å.
Positions (direct):
La  0.0000  0.0000  0.0000  2 Dy 3.00, 4 Er 3.22
La  0.3125  0.8125  0.5000  5 Er 3.45-3.61, 2 La 3.48, 1 Dy 3.70
La  0.6875  0.1875  0.5000  5 Er 3.45-3.61, 2 La 3.48, 1 Dy 3.70
Dy  0.5000  0.0000  0.5000  2 La 3.00
Er  0.1374  0.6374  0.5000  3 La 3.22-3.45, 2 Er 3.48
Er  0.8626  0.3626  0.5000  3 La 3.22-3.45, 2 Er 3.48

=====

Entry 3:
Density functional theory data (PBE-GGA) for a relaxed structure of LaDy12Er2.

Values from the calculation:
Its space-group type is No. 125. Its crystal system is tetragonal. For the formation energy, the calculation gives 4.71 eV per formula unit. The value obtained for the total magnetization is 0.0 μB per formula unit.

Cell: 6.3786 6.3786 25.1258 Å, 90.00 90.00 90.00°
Last column: nearest neighbours and their distance in Å.
Positions (direct):
La  0.2500  0.7500  0.0000  4 Dy 3.43
La  0.7500  0.2500  0.0000  4 Dy 3.43
Dy  0.0676  0.5676  0.1198  7 Dy 3.29-3.41, 1 La 3.43
Dy  0.0676  0.9324  0.8802  7 Dy 3.29-3.41, 1 La 3.43
Dy  0.0814  0.5814  0.4394  6 Dy 3.04-3.38
Dy  0.0814  0.9186  0.5606  6 Dy 3.04-3.38
Dy  0.2500  0.2500  0.2186  5 Dy 3.07-3.41
Dy  0.2500  0.2500  0.3408  5 Dy 3.07-3.43
Dy  0.2500  0.2500  0.6592  5 Dy 3.07-3.43
Dy  0.2500  0.2500  0.7814  5 Dy 3.07-3.41
Dy  0.4186  0.5814  0.5606  6 Dy 3.04-3.38
Dy  0.4186  0.9186  0.4394  6 Dy 3.04-3.38
Dy  0.4324  0.5676  0.8802  7 Dy 3.29-3.41, 1 La 3.43
Dy  0.4324  0.9324  0.1198  7 Dy 3.29-3.41, 1 La 3.43
Dy  0.5676  0.0676  0.8802  7 Dy 3.29-3.41, 1 La 3.43
Dy  0.5676  0.4324  0.1198  7 Dy 3.29-3.41, 1 La 3.43
Dy  0.5814  0.0814  0.5606  6 Dy 3.04-3.38
Dy  0.5814  0.4186  0.4394  6 Dy 3.04-3.38
Dy  0.7500  0.7500  0.2186  5 Dy 3.07-3.41
Dy  0.7500  0.7500  0.3408  5 Dy 3.07-3.43
Dy  0.7500  0.7500  0.6592  5 Dy 3.07-3.43
Dy  0.7500  0.7500  0.7814  5 Dy 3.07-3.41
Dy  0.9186  0.0814  0.4394  6 Dy 3.04-3.38
Dy  0.9186  0.4186  0.5606  6 Dy 3.04-3.38
Dy  0.9324  0.0676  0.1198  7 Dy 3.29-3.41, 1 La 3.43
Dy  0.9324  0.4324  0.8802  7 Dy 3.29-3.41, 1 La 3.43
Er  0.2500  0.7500  0.2771  8 Dy 3.51-3.57
Er  0.2500  0.7500  0.7229  8 Dy 3.51-3.57
Er  0.7500  0.2500  0.2771  8 Dy 3.51-3.57
Er  0.7500  0.2500  0.7229  8 Dy 3.51-3.57

=====

Entry 4:
Density functional theory data (PBE-GGA) for a relaxed structure of La2Dy3Er8.

Values from the calculation:
Its space-group type is No. 65. Its crystal system is orthorhombic. For the formation energy, the calculation gives 3.22 eV per formula unit. The value obtained for the total magnetization is 0.0 μB per formula unit.

Cell: 11.2072 11.2072 5.4641 Å, 90.00 90.00 140.31°
Last column: nearest neighbours and their distance in Å.
Positions (direct):
La  0.2398  0.7602  0.0000  8 Er 3.49-3.67, 2 La 3.83
La  0.7602  0.2398  0.0000  8 Er 3.49-3.67, 2 La 3.83
Dy  0.0000  0.0000  0.0000  4 Er 3.12
Dy  0.2896  0.2896  0.5000  3 Dy 3.20-3.51, 6 Er 3.41-3.52
Dy  0.7104  0.7104  0.5000  3 Dy 3.20-3.51, 6 Er 3.41-3.52
Er  0.1236  0.8764  0.5000  4 Dy 3.41-3.78, 4 Er 3.52, 2 La 3.67
Er  0.1813  0.3923  0.0000  1 Dy 3.12, 3 Er 3.25-3.36
Er  0.3427  0.6573  0.5000  4 Er 3.36, 2 La 3.49, 2 Dy 3.68
Er  0.3923  0.1813  0.0000  1 Dy 3.12, 3 Er 3.25-3.36
Er  0.6077  0.8187  0.0000  1 Dy 3.12, 3 Er 3.25-3.36
Er  0.6573  0.3427  0.5000  4 Er 3.36, 2 La 3.49, 2 Dy 3.68
Er  0.8187  0.6077  0.0000  1 Dy 3.12, 3 Er 3.25-3.36
Er  0.8764  0.1236  0.5000  4 Dy 3.41-3.78, 4 Er 3.52, 2 La 3.67

=====

Entry 5:
Density functional theory data (PBE-GGA) for a relaxed structure of La3Dy2Er3.

Values from the calculation:
Its space-group type is No. 12. Its crystal system is monoclinic. For the formation energy, the calculation gives 0.74 eV per formula unit. The value obtained for the energy above the most stable polymorph in this dataset is 0.46 eV/f.u. The value obtained for the total magnetization is 0.0 μB per formula unit.

Cell: 8.7683 8.7683 6.0432 Å, 109.37 109.37 38.32°
Last column: nearest neighbours and their distance in Å.
Positions (direct):
La  0.0000  0.0000  0.0000  2 La 3.35, 4 Er 3.56
La  0.1356  0.1356  0.6992  1 La 3.35, 4 Dy 3.46-3.57, 5 Er 3.58-3.70
La  0.8644  0.8644  0.3008  1 La 3.35, 4 Dy 3.46-3.57, 5 Er 3.58-3.70
Dy  0.2512  0.2512  0.3204  4 Er 3.45-3.58, 4 La 3.46-3.57, 2 Dy 3.61
Dy  0.7488  0.7488  0.6796  4 Er 3.45-3.58, 4 La 3.46-3.57, 2 Dy 3.61
Er  0.3664  0.3664  0.9189  1 Er 3.43, 4 Dy 3.45-3.58, 5 La 3.56-3.70
Er  0.5000  0.5000  0.5000  2 Er 3.43, 4 La 3.59
Er  0.6336  0.6336  0.0811  1 Er 3.43, 4 Dy 3.45-3.58, 5 La 3.56-3.70

=====

Entry 6:
Density functional theory data (PBE-GGA) for a relaxed structure of LaDy3Er6.

Values from the calculation:
Its space-group type is No. 36. Its crystal system is orthorhombic. For the formation energy, the calculation gives 1.37 eV per formula unit. The value obtained for the energy above the most stable polymorph in this dataset is 0.00 eV/f.u. The value obtained for the total magnetization is 0.0 μB per formula unit.

Cell: 8.9773 8.9773 8.9047 Å, 90.00 90.00 116.67°
Last column: nearest neighbours and their distance in Å.
Positions (direct):
La  0.2260  0.7740  0.5000  6 Er 3.29-3.54, 1 Dy 3.57
La  0.7740  0.2260  0.0000  6 Er 3.29-3.54, 1 Dy 3.57
Dy  0.0303  0.3129  0.4279  2 Dy 3.23-3.42, 5 Er 3.28-3.50
Dy  0.3129  0.0303  0.9279  2 Dy 3.23-3.42, 5 Er 3.28-3.50
Dy  0.4540  0.5460  0.4098  7 Er 3.35-3.69, 2 Dy 3.42, 1 La 3.57
Dy  0.5460  0.4540  0.9098  7 Er 3.35-3.69, 2 Dy 3.42, 1 La 3.57
Dy  0.6871  0.9697  0.4279  2 Dy 3.23-3.42, 5 Er 3.28-3.50
Dy  0.9697  0.6871  0.9279  2 Dy 3.23-3.42, 5 Er 3.28-3.50
Er  0.0529  0.9471  0.2800  1 La 3.29, 6 Er 3.30-3.64, 2 Dy 3.63
Er  0.1728  0.4720  0.7676  4 Er 3.32-3.61, 3 Dy 3.34-3.65, 1 La 3.48
Er  0.1846  0.3036  0.0968  3 Dy 3.28-3.48, 5 Er 3.30-3.64, 1 La 3.54
Er  0.2891  0.7109  0.1357  3 Dy 3.34-3.51, 2 Er 3.36, 1 La 3.38
Er  0.3036  0.1846  0.5968  3 Dy 3.28-3.48, 5 Er 3.30-3.64, 1 La 3.54
Er  0.4720  0.1728  0.2676  4 Er 3.32-3.61, 3 Dy 3.34-3.65, 1 La 3.48
Er  0.5280  0.8272  0.7676  4 Er 3.32-3.61, 3 Dy 3.34-3.65, 1 La 3.48
Er  0.6964  0.8154  0.0968  3 Dy 3.28-3.48, 5 Er 3.30-3.64, 1 La 3.54
Er  0.7109  0.2891  0.6357  3 Dy 3.34-3.51, 2 Er 3.36, 1 La 3.38
Er  0.8154  0.6964  0.5968  3 Dy 3.28-3.48, 5 Er 3.30-3.64, 1 La 3.54
Er  0.8272  0.5280  0.2676  4 Er 3.32-3.61, 3 Dy 3.34-3.65, 1 La 3.48
Er  0.9471  0.0529  0.7800  1 La 3.29, 6 Er 3.30-3.64, 2 Dy 3.63

=====

Entry 7:
Density functional theory data (PBE-GGA) for a relaxed structure of La9Dy2Er.

Values from the calculation:
Its space-group type is No. 123. Its crystal system is tetragonal. For the formation energy, the calculation gives 0.08 eV per formula unit. The value obtained for the total magnetization is 0.0 μB per formula unit.

Cell: 5.1985 5.1985 15.5944 Å, 90.00 90.00 90.00°
Last column: nearest neighbours and their distance in Å.
Positions (direct):
La  0.0000  0.0000  0.0000  8 La 3.67, 4 Er 3.68
La  0.0000  0.0000  0.3331  4 Dy 3.68, 8 La 3.68
La  0.0000  0.0000  0.6669  4 Dy 3.68, 8 La 3.68
La  0.0000  0.5000  0.1662  8 La 3.67-3.68, 2 Er 3.67, 2 Dy 3.68
La  0.0000  0.5000  0.5000  8 La 3.68, 4 Dy 3.68
La  0.0000  0.5000  0.8338  8 La 3.67-3.68, 2 Er 3.67, 2 Dy 3.68
La  0.5000  0.0000  0.1662  8 La 3.67-3.68, 2 Er 3.67, 2 Dy 3.68
La  0.5000  0.0000  0.5000  8 La 3.68, 4 Dy 3.68
La  0.5000  0.0000  0.8338  8 La 3.67-3.68, 2 Er 3.67, 2 Dy 3.68
Dy  0.5000  0.5000  0.3329  12 La 3.68
Dy  0.5000  0.5000  0.6671  12 La 3.68
Er  0.5000  0.5000  0.0000  12 La 3.67-3.68

=====

Entry 8:
Density functional theory data (PBE-GGA) for a relaxed structure of La6DyEr12.

Values from the calculation:
Its space-group type is No. 166. Its crystal system is trigonal. For the formation energy, the calculation gives 4.25 eV per formula unit. The value obtained for the total magnetization is 0.0 μB per formula unit.

Cell: 8.7671 8.7671 8.7671 Å, 98.76 98.76 98.76°
Last column: nearest neighbours and their distance in Å.
Positions (direct):
La  0.1540  0.5962  0.5962  1 La 3.06
La  0.4038  0.4038  0.8460  1 La 3.06
La  0.4038  0.8460  0.4038  1 La 3.06
La  0.5962  0.1540  0.5962  1 La 3.06
La  0.5962  0.5962  0.1540  1 La 3.06
La  0.8460  0.4038  0.4038  1 La 3.06
Dy  0.5000  0.5000  0.5000  6 La 3.46
Er  0.0000  0.2537  0.7463  6 Er 3.37-3.54, 4 La 3.51-3.62
Er  0.0000  0.7463  0.2537  6 Er 3.37-3.54, 4 La 3.51-3.62
Er  0.1456  0.1456  0.4203  6 Er 3.37-3.66, 2 La 3.72
Er  0.1456  0.4203  0.1456  6 Er 3.37-3.66, 2 La 3.72
Er  0.2537  0.0000  0.7463  6 Er 3.37-3.54, 4 La 3.51-3.62
Er  0.2537  0.7463  0.0000  6 Er 3.37-3.54, 4 La 3.51-3.62
Er  0.4203  0.1456  0.1456  6 Er 3.37-3.66, 2 La 3.72
Er  0.5797  0.8544  0.8544  6 Er 3.37-3.66, 2 La 3.72
Er  0.7463  0.0000  0.2537  6 Er 3.37-3.54, 4 La 3.51-3.62
Er  0.7463  0.2537  0.0000  6 Er 3.37-3.54, 4 La 3.51-3.62
Er  0.8544  0.5797  0.8544  6 Er 3.37-3.66, 2 La 3.72
Er  0.8544  0.8544  0.5797  6 Er 3.37-3.66, 2 La 3.72